The following is a PBE-GGA calculation of a relaxed Pm2Al3Ag crystal, from Alexandria.

Geometry as POSCAR:
```
Pm2Al3Ag
1.0
-0.357 3.421 -2.386
0.827 -2.420 -3.594
-7.911 -1.884 2.154
Pm Al Ag
2 3 1
Direct
0.133 0.133 0.265 Pm
0.867 0.367 0.733 Pm
0.706 0.706 0.411 Al
0.542 0.542 0.083 Al
0.294 0.794 0.589 Al
0.459 0.959 0.918 Ag
```

Output
Formation energy from the elements, meV per atom: -379
Size of the total moment, μB/f.u.: 0.00
Crystal system: orthorhombic